No. 1
# BaLiMg2Al (GGA-PBE, optimized geometry)
data_BaLiMg2Al
_chemical_formula_sum 'Ba1 Li1 Mg2 Al1'
_space_group_name_H-M_alt 'P 4/m m m'
_space_group_IT_number 123
_space_group_name_Hall '-P 4 2'
_cell_length_a 5.177
_cell_length_b 5.177
_cell_length_c 5.067
_cell_angle_alpha 90.00
_cell_angle_beta 90.00
_cell_angle_gamma 90.00
loop_
_atom_site_label
_atom_site_fract_x
_atom_site_fract_y
_atom_site_fract_z
Ba1 0.000 0.000 0.000
Li1 0.500 0.500 0.500
Mg1 0.000 0.500 0.500
Al1 0.500 0.500 0.000
# D(E_F)   3.514 states/eV/cell
# Total magnetic moment   0.00 μB/f.u.
# Distance to the lowest polymorph of the same formula   0.0 kJ per mole of atoms

No. 2
# BaLi2MgAl (GGA-PBE, optimized geometry)
data_BaLi2MgAl
_chemical_formula_sum 'Ba1 Li2 Mg1 Al1'
_space_group_name_H-M_alt 'P 4/m m m'
_space_group_IT_number 123
_space_group_name_Hall '-P 4 2'
_cell_length_a 5.292
_cell_length_b 5.292
_cell_length_c 5.267
_cell_angle_alpha 90.00
_cell_angle_beta 90.00
_cell_angle_gamma 90.00
loop_
_atom_site_label
_atom_site_fract_x
_atom_site_fract_y
_atom_site_fract_z
Ba1 0.000 0.000 0.000
Li1 0.000 0.500 0.500
Mg1 0.500 0.500 0.000
Al1 0.500 0.500 0.500
# D(E_F)   2.303 states/eV/cell
# Uncorrected energy   -2.186 eV/atom
# Total magnetic moment   0.00 μB/f.u.

No. 3
# BaLi2AlN (GGA-PBE, optimized geometry)
data_BaLi2AlN
_chemical_formula_sum 'Ba1 Li2 Al1 N1'
_space_group_name_H-M_alt 'P 4/m m m'
_space_group_IT_number 123
_space_group_name_Hall '-P 4 2'
_cell_length_a 5.361
_cell_length_b 5.361
_cell_length_c 3.793
_cell_angle_alpha 90.00
_cell_angle_beta 90.00
_cell_angle_gamma 90.00
loop_
_atom_site_label
_atom_site_fract_x
_atom_site_fract_y
_atom_site_fract_z
Ba1 0.000 0.000 0.000
Li1 0.000 0.500 0.500
Al1 0.500 0.500 0.500
N1 0.500 0.500 0.000
# D(E_F)   3.651 states/eV/cell
# Energy relative to the elements, uncorrected   204 meV per atom
# Total magnetic moment   0.00 μB/f.u.

No. 4
# BaNaLiAl (GGA-PBE, optimized geometry)
data_BaNaLiAl
_chemical_formula_sum 'Ba4 Na4 Li4 Al4'
_space_group_name_H-M_alt 'F -4 3 m'
_space_group_IT_number 216
_space_group_name_Hall 'F -4 2 3'
_cell_length_a 7.744
_cell_length_b 7.744
_cell_length_c 7.744
_cell_angle_alpha 90.00
_cell_angle_beta 90.00
_cell_angle_gamma 90.00
loop_
_atom_site_label
_atom_site_fract_x
_atom_site_fract_y
_atom_site_fract_z
Ba1 0.000 0.000 0.000
Na1 0.250 0.250 0.750
Li1 0.250 0.250 0.250
Al1 0.000 0.000 0.500
# D(E_F)   17.967 states/eV/cell
# Uncorrected energy   -2.154 eV/atom
# Total magnetic moment   0.00 μB/f.u.

- Which of these has the highest D(E_F)?
  BaNaLiAl

- D(E_F) of number 4 (BaNaLiAl)?
  17.967 states/eV/cell